Material: Zr2BeCo
Method: DFT, PBE
State: relaxed

```
data_Zr2BeCo
_symmetry_space_group_name_H-M 'P 1 21/m 1'
_symmetry_Int_Tables_number 11
_symmetry_space_group_name_Hall '-P 2yb'
_cell_length_a 5.410
_cell_length_b 4.038
_cell_length_c 6.537
_cell_angle_alpha 90.00
_cell_angle_beta 113.54
_cell_angle_gamma 90.00
loop_
_atom_site_label
_atom_site_fract_x
_atom_site_fract_y
_atom_site_fract_z
Zr1 0.184 0.250 0.413
Zr2 0.289 0.750 0.079
Be1 0.361 0.750 0.704
Co1 0.168 0.250 0.789
```

Calculated values
Formation enthalpy at 0 K ... -0.250 eV/atom
Total moment ... 0.00 μB per cell

Material: Zr3BeCo2
Method: DFT, PBE
State: relaxed

```
data_Zr3BeCo2
_symmetry_space_group_name_H-M 'P n m a'
_symmetry_Int_Tables_number 62
_symmetry_space_group_name_Hall '-P 2ac 2n'
_cell_length_a 10.883
_cell_length_b 3.388
_cell_length_c 10.740
_cell_angle_alpha 90.00
_cell_angle_beta 90.00
_cell_angle_gamma 90.00
loop_
_atom_site_label
_atom_site_fract_x
_atom_site_fract_y
_atom_site_fract_z
Zr1 0.063 0.250 0.128
Zr2 0.126 0.750 0.566
Zr3 0.204 0.250 0.810
Be1 0.123 0.250 0.374
Co1 0.015 0.750 0.311
Co2 0.196 0.750 0.991
```

Calculated values
Formation enthalpy at 0 K ... -0.257 eV/atom
Total moment ... 0.00 μB per cell